# ReAg2Pb

A geometry-optimized ReAg2Pb structure (PBE-GGA, Alexandria via LeMat-Bulk).

The structure belongs to space group C2/m (No. 12); the cell edges are 11.745, 3.004 and 4.801 Å and the angles 90.00°, 113.84° and 90.00°. The distinct sites, in fractional coordinates, are Re at (0.000, 0.000, 0.000), Ag at (0.228, 0.500, 0.228) and Pb at (0.000, 0.500, 0.500).

As for the total magnetization: 0.000 μB per cell. The calculation puts the energy at -4.77 eV/atom. As for the theoretical density: 13.1 g/cm³.


# RbCdPRh

A geometry-optimized RbCdPRh structure (PBE-GGA, Alexandria via LeMat-Bulk).

The structure belongs to space group P4/nmm (No. 129, origin choice 2); the cell edges are 4.026, 4.026 and 13.367 Å and the angles 90.00°, 90.00° and 90.00°. The distinct sites, in fractional coordinates, are Rb at (0.250, 0.250, 0.244), Cd at (0.250, 0.750, 0.500), P at (0.250, 0.250, 0.908) and Rh at (0.250, 0.750, 0.000).

As for the total magnetization: 0.000 μB per cell. The calculation puts the energy at -4.12 eV/atom. As for the theoretical density: 5.1 g/cm³.


# Sm8Ge3Se4Cl

A geometry-optimized Sm8Ge3Se4Cl structure (PBE-GGA, Alexandria via LeMat-Bulk).

The structure belongs to space group R-3m (No. 166, hexagonal axes); the cell edges are 8.4072, 8.4072 and 20.6053 Å and the angles 90.00°, 90.00° and 120.00°. The distinct sites, in fractional coordinates, are Sm at (0.0000, 0.0000, 0.2468), Sm at (0.0114, 0.5057, 0.7521), Ge at (0.0000, 0.5000, 0.5000), Se at (0.0000, 0.0000, 0.0000), Se at (0.0000, 0.5000, 0.0000) and Cl at (0.0000, 0.0000, 0.5000).

As for the total magnetization: 0.000 μB per cell. The calculation puts the energy at -5.71 eV/atom. Its formation energy without anion corrections is -1.495 eV per atom. As for the theoretical density: 7.0 g/cm³.


# Pm6Sn2PbSe3

A geometry-optimized Pm6Sn2PbSe3 structure (PBE-GGA, Alexandria via LeMat-Bulk).

The structure belongs to space group C2/m (No. 12); the cell edges are 19.105, 4.351 and 8.781 Å and the angles 90.00°, 104.32° and 90.00°. The distinct sites, in fractional coordinates, are Pm at (0.002, 0.000, 0.241), Pm at (0.165, 0.500, 0.088), Pm at (0.170, 0.500, 0.579), Sn at (0.166, 0.000, 0.833), Pb at (0.000, 0.500, 0.500), Se at (0.000, 0.500, 0.000) and Se at (0.167, 0.000, 0.333).

As for the total magnetization: 0.000 μB per cell. The calculation puts the energy at -5.47 eV/atom. Its formation energy without anion corrections is -1.244 eV per atom. As for the theoretical density: 7.3 g/cm³.


# Rb2SbPbCl8

A geometry-optimized Rb2SbPbCl8 structure (PBE-GGA, Alexandria via LeMat-Bulk).

The structure belongs to space group P-1 (No. 2); the cell edges are 6.909, 7.332 and 8.845 Å and the angles 89.96°, 89.94° and 87.37°. The distinct sites, in fractional coordinates, are Rb at (0.001, 0.000, 0.245), Sb at (0.500, 0.500, 0.000), Pb at (0.500, 0.500, 0.500), Cl at (0.261, 0.814, 0.500), Cl at (0.282, 0.383, 0.212), Cl at (0.283, 0.382, 0.788) and Cl at (0.311, 0.802, 0.999).

As for the total magnetization: 0.722 μB per cell. The calculation puts the energy at -3.25 eV/atom. Its formation energy without anion corrections is -1.210 eV per atom. As for the theoretical density: 2.9 g/cm³.


# SrScCr2

A geometry-optimized SrScCr2 structure (PBE-GGA, Alexandria via LeMat-Bulk).

The structure belongs to space group Fm-3m (No. 225); the cell edges are 7.267, 7.267 and 7.267 Å and the angles 90.00°, 90.00° and 90.00°. The distinct sites, in fractional coordinates, are Sr at (0.000, 0.000, 0.000), Sc at (0.000, 0.000, 0.500) and Cr at (0.250, 0.250, 0.250).

As for the total magnetization: 30.349 μB per cell. The calculation puts the energy at -6.04 eV/atom. As for the theoretical density: 4.1 g/cm³.


# CsBa2Ca2

A geometry-optimized CsBa2Ca2 structure (PBE-GGA, Alexandria via LeMat-Bulk).

The structure belongs to space group P4/mbm (No. 127); the cell edges are 12.099, 12.099 and 4.306 Å and the angles 90.00°, 90.00° and 90.00°. The distinct sites, in fractional coordinates, are Cs at (0.000, 0.000, 0.000), Ba at (0.122, 0.378, 0.000) and Ca at (0.169, 0.669, 0.500).

As for the total magnetization: 0.001 μB per cell. The calculation puts the energy at -1.57 eV/atom. As for the theoretical density: 2.6 g/cm³.


# AcErAgGe

A geometry-optimized AcErAgGe structure (PBE-GGA, Alexandria via LeMat-Bulk).

The structure belongs to space group F-43m (No. 216); the cell edges are 7.526, 7.526 and 7.526 Å and the angles 90.00°, 90.00° and 90.00°. The distinct sites, in fractional coordinates, are Ac at (0.000, 0.000, 0.000), Er at (0.000, 0.000, 0.500), Ag at (0.250, 0.250, 0.250) and Ge at (0.250, 0.250, 0.750).

As for the total magnetization: 0.033 μB per cell. The calculation puts the energy at -4.45 eV/atom. As for the theoretical density: 9.0 g/cm³.